# 1
A plane-wave DFT calculation with PBE-GGA was carried out for ErPbAuS3 after structural relaxation.

Cell and atoms, written as extended XYZ:
```
12
Lattice="-1.681 -7.012 -1.937 1.052 -5.712 -4.691 7.674 -3.488 5.969" Properties=species:S:1:pos:R:3 pbc="T T T"
S -0.045 -4.832 -2.325
S 5.164 -14.584 -1.758
S 7.090 -11.380 1.665
Au 1.692 -5.451 -0.893
Au 5.353 -10.761 0.234
S 3.633 -9.808 -1.024
Pb 5.563 -6.507 2.450
S 1.881 -1.628 1.098
Pb 1.482 -9.705 -3.109
S 3.413 -6.404 0.364
Er 0.000 0.000 0.000
Er 3.837 -1.744 2.984
```

Computed properties:
- Total energy: -5.029 eV/atom

# 2
A plane-wave DFT calculation with PBE-GGA was carried out for ErPbAuS3 after structural relaxation.

Cell and atoms, written as extended XYZ:
```
12
Lattice="-2.255 -2.372 -6.925 3.132 -2.445 -0.182 -4.169 -5.828 6.538" Properties=species:S:1:pos:R:3 pbc="T T T"
S -3.599 -6.596 4.933
S -1.471 -6.833 1.264
Pb 0.953 -3.603 -0.405
Au -2.298 -8.044 3.298
Au -0.994 -2.602 -3.868
Er -0.885 -5.723 -3.547
S -2.358 -7.691 -2.455
Er -2.407 -4.923 2.977
Pb -4.245 -7.043 -0.165
S -1.821 -3.814 -1.834
S 0.307 -4.050 -5.502
S -0.934 -2.955 1.885
```

Computed properties:
- Total energy: -4.962 eV/atom

# 3
A plane-wave DFT calculation with PBE-GGA was carried out for ErPbAuS3 after structural relaxation.

Cell and atoms, written as extended XYZ:
```
12
Lattice="8.742 -1.954 0.000 8.742 1.954 0.000 -1.795 0.000 8.065" Properties=species:S:1:pos:R:3 pbc="T T T"
Au 6.632 0.000 6.281
Er 2.698 0.000 0.720
S 4.262 0.000 5.432
S 5.435 0.000 1.094
S 11.428 0.000 2.633
Er 12.992 0.000 7.345
Pb 1.266 0.000 4.678
S 7.845 0.000 4.032
Au 9.058 0.000 1.784
S 0.000 0.000 0.000
S 10.255 0.000 6.970
Pb 14.424 0.000 3.386
```

Computed properties:
- Total energy: -4.944 eV/atom

# 4
A plane-wave DFT calculation with PBE-GGA was carried out for ErPbAuS3 after structural relaxation.

Cell and atoms, written as extended XYZ:
```
24
Lattice="-3.685 5.434 8.129 -3.713 -1.065 -0.971 1.070 -10.683 7.627" Properties=species:S:1:pos:R:3 pbc="T T T"
S -2.914 -3.390 10.779
Er -4.425 -0.713 5.451
Er -1.902 -5.601 9.334
S -2.550 1.064 4.498
Au -4.643 -5.336 11.357
Pb -1.236 -4.337 5.402
S -0.890 -7.927 8.014
Pb -3.607 3.659 5.698
Er -3.731 -3.018 13.494
S -5.438 1.613 6.771
S -2.588 -1.410 7.358
S -2.221 -7.243 4.186
Er -2.597 -3.295 1.291
Au -2.907 -6.997 6.539
S -5.273 -5.272 13.695
S -3.778 -7.378 10.287
S -3.413 -2.924 4.006
S -1.054 -1.041 1.090
Au -3.420 0.683 8.246
S -3.740 -4.904 7.427
Pb -2.720 -9.972 9.087
Pb -5.091 -1.976 9.383
S -4.106 0.929 10.599
Au -1.684 -0.978 3.428
```

Computed properties:
- Total energy: -4.954 eV/atom